Record 1
Computed, not measured: crystalline AcUAgS6 at its relaxed geometry at the PBE level of DFT.

It has space group P312 (No. 149), with a = 6.4698 Å, b = 6.4698 Å, c = 6.6987 Å, α = 90.00°, β = 90.00° and γ = 120.00°. Symmetry generates all atoms from Ac at (0.0000, 0.0000, 0.0000), U at (0.3333, 0.6667, 0.5000), Ag at (0.6667, 0.3333, 0.5000) and S at (0.0073, 0.3750, 0.7350).

As for the total DFT energy (no corrections): -51.1 eV/cell. Its formation energy without anion corrections is -20.77 kcal/mol of atoms. The spin magnetization comes out at 0.9 μB/cell.


Record 2
Computed, not measured: crystalline Ac3Pr4Y2 at its relaxed geometry at the PBE level of DFT.

It has space group C2/m (No. 12), with a = 16.1014 Å, b = 5.2957 Å, c = 8.4828 Å, α = 90.00°, β = 108.55° and γ = 90.00°. Symmetry generates all atoms from Ac at (0.0000, 0.0000, 0.0000), Ac at (0.1120, 0.0000, 0.6652), Pr at (0.1681, 0.5000, 0.0025), Pr at (0.2212, 0.0000, 0.3344) and Y at (0.0580, 0.5000, 0.3344).

As for the total DFT energy (no corrections): -88.1 eV/cell. As for the energy relative to the elements: 0.037 eV per atom. The spin magnetization comes out at 0.0 μB/cell.


Record 3
Computed, not measured: crystalline AlRe2Hg at its relaxed geometry at the PBE level of DFT.

It has space group Cm (No. 8), with a = 9.1027 Å, b = 2.8901 Å, c = 5.0004 Å, α = 90.00°, β = 98.16° and γ = 90.00°. Symmetry generates all atoms from Al at (0.0000, 0.0000, 0.0000), Re at (0.2449, 0.5000, 0.2614), Re at (0.4856, 0.0000, 0.4571) and Hg at (0.2409, 0.0000, 0.7590).

As for the total DFT energy (no corrections): -54.2 eV/cell. As for the energy relative to the elements: 0.460 eV per atom. The spin magnetization comes out at 0.0 μB/cell.


Record 4
Computed, not measured: crystalline Ho2MgSn at its relaxed geometry at the PBE level of DFT.

It has space group P4/mmm (No. 123), with a = 3.8627 Å, b = 3.8627 Å, c = 7.0463 Å, α = 90.00°, β = 90.00° and γ = 90.00°. Symmetry generates all atoms from Ho at (0.0000, 0.0000, 0.2488), Mg at (0.5000, 0.5000, 0.5000) and Sn at (0.5000, 0.5000, 0.0000).

As for the total DFT energy (no corrections): -16.3 eV/cell. As for the energy relative to the elements: -0.381 eV per atom. The spin magnetization comes out at 0.0 μB/cell.


Record 5
Computed, not measured: crystalline Bi6BO12 at its relaxed geometry at the PBE level of DFT.

It has space group R-3 (No. 148, hexagonal axes), with a = 9.9142 Å, b = 9.9142 Å, c = 9.3833 Å, α = 90.00°, β = 90.00° and γ = 120.00°. Symmetry generates all atoms from Bi at (0.0577, 0.7962, 0.1640), B at (0.0000, 0.0000, 0.5000), O at (0.0429, 0.8229, 0.8991) and O at (0.0431, 0.8728, 0.3963).

As for the total DFT energy (no corrections): -322.1 eV/cell. Its formation energy without anion corrections is -21.74 kcal/mol of atoms. The spin magnetization comes out at 0.0 μB/cell.


Record 6
Computed, not measured: crystalline TeIrAu2 at its relaxed geometry at the PBE level of DFT.

It has space group Pmmm (No. 47), with a = 3.7426 Å, b = 3.7993 Å, c = 5.4490 Å, α = 90.00°, β = 90.00° and γ = 90.00°. Symmetry generates all atoms from Te at (0.0000, 0.0000, 0.0000), Ir at (0.0000, 0.0000, 0.5000) and Au at (0.5000, 0.5000, 0.2578).

As for the total DFT energy (no corrections): -16.6 eV/cell. Its formation energy without anion corrections is 11.14 kcal/mol of atoms. The spin magnetization comes out at 0.0 μB/cell.


Record 7
Computed, not measured: crystalline Y2PuNpO8 at its relaxed geometry at the PBE level of DFT.

It has space group P2/m (No. 10), with a = 3.7856 Å, b = 7.5415 Å, c = 5.3595 Å, α = 90.00°, β = 90.17° and γ = 90.00°. Symmetry generates all atoms from Y at (0.0000, 0.2504, 0.0000), Pu at (0.5000, 0.0000, 0.5000), Np at (0.5000, 0.5000, 0.5000), O at (0.0014, 0.0000, 0.2589), O at (0.0014, 0.5000, 0.2663) and O at (0.4987, 0.2592, 0.7371).

As for the total DFT energy (no corrections): -118.3 eV/cell. Its formation energy without anion corrections is -73.81 kcal/mol of atoms. The spin magnetization comes out at 5.0 μB/cell.


Record 8
Computed, not measured: crystalline PrDy2HgC at its relaxed geometry at the PBE level of DFT.

It has space group I4/mcm (No. 140), with a = 6.8768 Å, b = 6.8768 Å, c = 10.4051 Å, α = 90.00°, β = 90.00° and γ = 90.00°. Symmetry generates all atoms from Pr at (0.0000, 0.0000, 0.2500), Dy at (0.1934, 0.3066, 0.0000), Hg at (0.0000, 0.5000, 0.2500) and C at (0.0000, 0.0000, 0.0000).

As for the total DFT energy (no corrections): -100.8 eV/cell. As for the energy relative to the elements: -0.336 eV per atom. The spin magnetization comes out at 0.0 μB/cell.


Record 9
Computed, not measured: crystalline LiHoSc2Ga4 at its relaxed geometry at the PBE level of DFT.

It has space group R-3m (No. 166, hexagonal axes), with a = 4.7385 Å, b = 4.7385 Å, c = 23.8881 Å, α = 90.00°, β = 90.00° and γ = 120.00°. Symmetry generates all atoms from Li at (0.0000, 0.0000, 0.0000), Ho at (0.0000, 0.0000, 0.5000), Sc at (0.0000, 0.0000, 0.2557), Ga at (0.0000, 0.0000, 0.1207) and Ga at (0.0000, 0.0000, 0.3729).

As for the total DFT energy (no corrections): -106.0 eV/cell. As for the energy relative to the elements: -0.510 eV per atom. The spin magnetization comes out at 0.0 μB/cell.


Record 10
Computed, not measured: crystalline Ac2Al3Cd5 at its relaxed geometry at the PBE level of DFT.

It has space group P-4m2 (No. 115), with a = 4.6135 Å, b = 4.6135 Å, c = 11.8956 Å, α = 90.00°, β = 90.00° and γ = 90.00°. Symmetry generates all atoms from Ac at (0.0000, 0.5000, 0.2311), Al at (0.0000, 0.0000, 0.0000), Al at (0.0000, 0.5000, 0.8742), Cd at (0.0000, 0.0000, 0.5000), Cd at (0.0000, 0.5000, 0.6491), Cd at (0.5000, 0.5000, 0.0000) and Cd at (0.5000, 0.5000, 0.5000).

As for the total DFT energy (no corrections): -27.0 eV/cell. As for the energy relative to the elements: -0.296 eV per atom. The spin magnetization comes out at 0.0 μB/cell.


Record 11
Computed, not measured: crystalline RbCe2USe5 at its relaxed geometry at the PBE level of DFT.

It has space group Immm (No. 71), with a = 5.2976 Å, b = 7.5579 Å, c = 14.5768 Å, α = 90.00°, β = 90.00° and γ = 90.00°. Symmetry generates all atoms from Rb at (0.0000, 0.0000, 0.0000), Ce at (0.0000, 0.5000, 0.2030), U at (0.0000, 0.0000, 0.5000), Se at (0.0000, 0.2373, 0.3486) and Se at (0.0000, 0.5000, 0.0000).

As for the total DFT energy (no corrections): -109.4 eV/cell. Its formation energy without anion corrections is -33.70 kcal/mol of atoms. The spin magnetization comes out at 9.9 μB/cell.


Record 12
Computed, not measured: crystalline NpCu4P2 at its relaxed geometry at the PBE level of DFT.

It has space group P4_2/mnm (No. 136), with a = 7.2592 Å, b = 7.2592 Å, c = 3.7994 Å, α = 90.00°, β = 90.00° and γ = 90.00°. Symmetry generates all atoms from Np at (0.0000, 0.0000, 0.0000), Cu at (0.0857, 0.3393, 0.5000) and P at (0.2139, 0.7861, 0.5000).

As for the total DFT energy (no corrections): -84.8 eV/cell. As for the energy relative to the elements: -0.319 eV per atom. The spin magnetization comes out at 8.4 μB/cell.


Record 13
Computed, not measured: crystalline Ac15Pr4Tm at its relaxed geometry at the PBE level of DFT.

It has space group P4/mmm (No. 123), with a = 5.5391 Å, b = 5.5391 Å, c = 27.6216 Å, α = 90.00°, β = 90.00° and γ = 90.00°. Symmetry generates all atoms from Ac at (0.0000, 0.0000, 0.0000), Ac at (0.0000, 0.0000, 0.1984), Ac at (0.0000, 0.0000, 0.3995), Ac at (0.0000, 0.5000, 0.0980), Ac at (0.0000, 0.5000, 0.2988), Ac at (0.0000, 0.5000, 0.5000), Pr at (0.5000, 0.5000, 0.1983), Pr at (0.5000, 0.5000, 0.3995) and Tm at (0.5000, 0.5000, 0.0000).

As for the total DFT energy (no corrections): -84.7 eV/cell. As for the energy relative to the elements: 0.026 eV per atom. The spin magnetization comes out at 0.0 μB/cell.


Record 14
Computed, not measured: crystalline TmMg2 at its relaxed geometry at the PBE level of DFT.

It has space group P6/mmm (No. 191), with a = 5.1909 Å, b = 5.1909 Å, c = 3.2781 Å, α = 90.00°, β = 90.00° and γ = 120.00°. Symmetry generates all atoms from Tm at (0.0000, 0.0000, 0.0000) and Mg at (0.3333, 0.6667, 0.5000).

As for the total DFT energy (no corrections): -7.8 eV/cell. As for the energy relative to the elements: -0.054 eV per atom. The spin magnetization comes out at 0.0 μB/cell.


Record 15
Computed, not measured: crystalline SiW2 at its relaxed geometry at the PBE level of DFT.

It has space group Pnma (No. 62), with a = 5.3731 Å, b = 4.1938 Å, c = 7.9985 Å, α = 90.00°, β = 90.00° and γ = 90.00°. Symmetry generates all atoms from Si at (0.1958, 0.2500, 0.1123), W at (0.0775, 0.2500, 0.7820) and W at (0.1909, 0.2500, 0.4389).

As for the total DFT energy (no corrections): -124.0 eV/cell. Its formation energy without anion corrections is 2.53 kcal/mol of atoms. The spin magnetization comes out at 0.0 μB/cell.


Record 16
Computed, not measured: crystalline Sm2Er2Th at its relaxed geometry at the PBE level of DFT.

It has space group P2/m (No. 10), with a = 5.3708 Å, b = 3.5174 Å, c = 8.8854 Å, α = 90.00°, β = 107.52° and γ = 90.00°. Symmetry generates all atoms from Sm at (0.1984, 0.0000, 0.3968), Er at (0.3964, 0.5000, 0.7926) and Th at (0.0000, 0.0000, 0.0000).

As for the total DFT energy (no corrections): -25.7 eV/cell. As for the energy relative to the elements: 0.052 eV per atom. The spin magnetization comes out at 0.0 μB/cell.


Record 17
Computed, not measured: crystalline LaScTl2 at its relaxed geometry at the PBE level of DFT.

It has space group I-42d (No. 122), with a = 8.4272 Å, b = 8.4272 Å, c = 6.7932 Å, α = 90.00°, β = 90.00° and γ = 90.00°. Symmetry generates all atoms from La at (0.0000, 0.0000, 0.0000), Sc at (0.0000, 0.0000, 0.5000) and Tl at (0.2186, 0.2500, 0.6250).

As for the total DFT energy (no corrections): -65.3 eV/cell. As for the energy relative to the elements: -0.081 eV per atom. The spin magnetization comes out at 0.0 μB/cell.


Record 18
Computed, not measured: crystalline ThGaIr at its relaxed geometry at the PBE level of DFT.

It has space group I4mm (No. 107), with a = 3.9098 Å, b = 3.9098 Å, c = 9.0506 Å, α = 90.00°, β = 90.00° and γ = 90.00°. Symmetry generates all atoms from Th at (0.0000, 0.0000, 0.0000), Ga at (0.0000, 0.0000, 0.3251) and Ir at (0.0000, 0.0000, 0.6109).

As for the total DFT energy (no corrections): -41.0 eV/cell. As for the energy relative to the elements: -0.396 eV per atom. The spin magnetization comes out at 0.0 μB/cell.


Record 19
Computed, not measured: crystalline Zr5Cd3 at its relaxed geometry at the PBE level of DFT.

It has space group P6_3/mcm (No. 193), with a = 8.7708 Å, b = 8.7708 Å, c = 5.3785 Å, α = 90.00°, β = 90.00° and γ = 120.00°. Symmetry generates all atoms from Zr at (0.0000, 0.2272, 0.2500), Zr at (0.3333, 0.6667, 0.0000) and Cd at (0.0000, 0.4013, 0.7500).

As for the total DFT energy (no corrections): -90.9 eV/cell. As for the energy relative to the elements: 0.006 eV per atom. The spin magnetization comes out at 0.0 μB/cell.


Record 20
Computed, not measured: crystalline RbHBr3 at its relaxed geometry at the PBE level of DFT.

It has space group Pmmn (No. 59, origin choice 2), with a = 6.1581 Å, b = 6.4457 Å, c = 8.7264 Å, α = 90.00°, β = 90.00° and γ = 90.00°. Symmetry generates all atoms from Rb at (0.2500, 0.2500, 0.1746), H at (0.2500, 0.2500, 0.6671), Br at (0.2500, 0.5115, 0.6579) and Br at (0.2500, 0.7500, 0.0354).

As for the total DFT energy (no corrections): -25.0 eV/cell. The spin magnetization comes out at 1.3 μB/cell.


| no. | DOS(E_F) (states/eV/cell) |
| --- | --- |
| 1 | 9.5 |
| 2 | 31.2 |
| 3 | 5.9 |
| 4 | 2.0 |
| 5 | 37.8 |
| 6 | 3.9 |
| 7 | 9.8 |
| 8 | 17.0 |
| 9 | 10.3 |
| 10 | 4.5 |
| 11 | 37.4 |
| 12 | 23.4 |
| 13 | 33.9 |
| 14 | 1.9 |
| 15 | 10.5 |
| 16 | 6.2 |
| 17 | 15.6 |
| 18 | 4.3 |
| 19 | 18.6 |
| 20 | 9.7 |